{"formula": "TaS2O2", "functional": "PBE-GGA", "state": "relaxed", "raw_formation_energy_ev_per_atom": 0.260, "rho_g_cm3": 7.0, "lattice": [[6.126, 0.000, 0.000], [0.000, 6.126, 0.000], [0.000, 0.000, 3.501]], "species": ["S", "S", "S", "S", "O", "O", "O", "O", "Ta", "Ta"], "frac_coords": [[0.386, 0.886, 0.000], [0.886, 0.614, 0.000], [0.614, 0.114, 0.000], [0.114, 0.386, 0.000], [0.227, 0.727, 0.500], [0.727, 0.773, 0.500], [0.773, 0.273, 0.500], [0.273, 0.227, 0.500], [0.000, 0.000, 0.000], [0.500, 0.500, 0.000]]}